1.
VASP calculation (PBE) on crystalline TcNi2Au at its relaxed geometry.

Lattice parameters (Å, degrees): 2.692 2.692 7.496 90.00 90.00 90.00
Positions (direct):
Ni 0.000 0.000 0.767
Au 0.500 0.500 0.500
Tc 0.500 0.500 0.000
Ni 0.000 0.000 0.233

* space group: No. 123
* ΔE_f: 43.8 meV per atom

=====

2.
VASP calculation (PBE) on crystalline Mg2Be2AlPt5 at its relaxed geometry.

Lattice parameters (Å, degrees): 3.317 9.290 9.290 90.00 90.00 90.00
Positions (direct):
Pt 0.500 0.500 0.000
Mg 0.000 0.326 0.826
Be 0.000 0.125 0.625
Pt 0.500 0.707 0.427
Be 0.000 0.625 0.875
Pt 0.500 0.793 0.927
Al 0.000 0.000 0.000
Pt 0.500 0.207 0.073
Pt 0.500 0.073 0.793
Pt 0.500 0.000 0.500
Be 0.000 0.375 0.125
Mg 0.000 0.674 0.174
Pt 0.500 0.427 0.293
Pt 0.500 0.573 0.707
Al 0.000 0.500 0.500
Mg 0.000 0.826 0.674
Be 0.000 0.875 0.375
Pt 0.500 0.927 0.207
Pt 0.500 0.293 0.573
Mg 0.000 0.174 0.326

* space group: No. 127
* ΔE_f: -875.6 meV per atom

=====

3.
VASP calculation (PBE) on crystalline La7CeBr12 at its relaxed geometry.

Lattice parameters (Å, degrees): 9.615 9.615 9.615 107.50 107.50 107.50
Positions (direct):
La 0.964 0.676 0.884
La 0.324 0.116 0.036
Br 0.780 0.927 0.320
Br 0.392 0.479 0.163
Br 0.073 0.680 0.220
La 0.676 0.884 0.964
La 0.884 0.964 0.676
Br 0.220 0.073 0.680
Br 0.479 0.163 0.392
Br 0.320 0.780 0.927
La 0.036 0.324 0.116
Br 0.608 0.521 0.837
Br 0.927 0.320 0.780
Br 0.837 0.608 0.521
Ce 0.000 0.000 0.000
Br 0.680 0.220 0.073
Br 0.163 0.392 0.479
La 0.500 0.500 0.500
La 0.116 0.036 0.324
Br 0.521 0.837 0.608

* space group: No. 148
* formation energy from raw total energies: -1.517 eV/atom

=====

4.
VASP calculation (PBE) on crystalline TeP3Au at its relaxed geometry.

Lattice parameters (Å, degrees): 5.040 5.040 5.040 90.00 90.00 90.00
Positions (direct):
Te 0.000 0.000 0.000
Au 0.500 0.500 0.500
P 0.000 0.000 0.500
P 0.500 0.000 0.000
P 0.000 0.500 0.000

* space group: No. 221
* formation energy from raw total energies: 1.503 eV/atom